VASP calculation (GGA-PBE) on crystalline H2Se2Cl at its relaxed geometry.

Values from the calculation:
- Total moment: 0.000 μB per atom
- Crystal system: monoclinic
- Space group: C2/c
- Raw total energy: -0.1177 hartree per atom

Cell lengths 5.1562, 12.4286, 11.3338 Å; angles 158.69, 103.15, 90.00 degrees
Positions (direct):
Se 0.1313 0.7420 0.6917
Se 0.8687 0.2580 0.3083
Se 0.5604 0.2420 0.6917
Se 0.4396 0.7580 0.3083
H 0.1911 0.0128 0.3712
H 0.8089 0.9872 0.6288
H 0.8200 0.4872 0.6288
H 0.1800 0.5128 0.3712
Cl 0.7474 0.7500 0.0000
Cl 0.2526 0.2500 0.0000